AuI2: optimized geometry, GGA-PBE.

Calculated values
Raw total energy: -0.0791 Ha/atom
Uncorrected formation energy: -0.026 eV/atom

a b c (Å): 5.1071 6.8698 8.0650
angles (deg): 74.07 81.80 82.01
Positions (direct):
Au  0.4601  0.0584  0.3246
Au  0.3051  0.6718  0.4620
I  0.2203  0.2668  0.5488
I  0.6338  0.7595  0.1738
I  0.7250  0.3194  0.0642
I  0.9672  0.7455  0.7207